1.
DFT (PBE) results for Tm4CS2Cl after structural relaxation.

abc: 3.724 6.494 6.721
angles: 71.51 90.00 90.00
Sites, in units of the cell vectors:
1 Tm 0.000 0.742 0.713
2 Tm 0.000 0.258 0.287
3 Tm 0.500 0.718 0.292
4 Tm 0.500 0.282 0.708
5 C 0.000 0.500 0.500
6 S 0.000 0.000 0.000
7 S 0.500 0.000 0.500
8 Cl 0.500 0.500 0.000

The uncorrected formation energy is -1452 meV per atom. The total energy comes out at -6.10 eV per atom.

---

2.
DFT (PBE) results for VCS2Cl after structural relaxation.

abc: 4.553 4.553 4.724
angles: 90.00 90.00 90.00
Sites, in units of the cell vectors:
1 S 0.000 0.500 0.000
2 S 0.500 0.000 0.000
3 Cl 0.000 0.000 0.500
4 C 0.500 0.500 0.500
5 V 0.000 0.000 0.000

The uncorrected formation energy is 1084 meV per atom. The energy above the lowest structure with this stoichiometry is 0 meV per atom. The total energy comes out at -4.61 eV per atom.

---

3.
DFT (PBE) results for VCSCl2 after structural relaxation.

abc: 4.328 4.328 4.146
angles: 90.00 90.00 90.00
Sites, in units of the cell vectors:
1 S 0.000 0.000 0.500
2 Cl 0.000 0.500 0.000
3 Cl 0.500 0.000 0.000
4 C 0.000 0.000 0.000
5 V 0.500 0.500 0.500

The uncorrected formation energy is 1254 meV per atom. The energy above the lowest structure with this stoichiometry is 359 meV per atom. The total energy comes out at -3.98 eV per atom.

---

D(E_F) (computed, states/eV/cell): 2.34, 4.34, 5.68
Mass density (computed, Mg/m³): 8.48, 2.76, 3.55
Magnetization (computed, μB/f.u.): 0.0, 2.2, 0.3